## Cd2Se (PBE)

Data for crystalline Cd2Se at its relaxed geometry.

Output
Final energy, eV per atom: -1.62
Calculated density, g cm⁻³: 7.43

Unit cell a=5.770 b=5.770 c=5.770 alpha=60.00 beta=60.00 gamma=60.00
Fractional coordinates of all 6 atoms:
Cd 0.625 0.625 0.625
Cd 0.625 0.625 0.125
Cd 0.125 0.625 0.625
Cd 0.625 0.125 0.625
Se 0.250 0.250 0.250
Se 0.000 0.000 0.000